Record 1
Here is a geometry-optimized Tb2PmPrY5 structure from Alexandria via LeMat-Bulk. Energies are from PBE.

As for the energy: -48.81 eV per formula unit. The crystal system is tetragonal. The formation energy comes out at 0.256 eV per atom.

POSCAR file:
```
Tb2PmPrY5
1.0
-4.383 4.383 7.740
4.383 -4.383 7.740
4.383 4.383 -7.740
Tb Pm Pr Y
4 2 2 10
direct
0.117 0.617 0.734
0.383 0.117 0.500
0.617 0.883 0.500
0.883 0.383 0.266
0.250 0.250 0.000
0.750 0.750 0.000
0.250 0.750 0.500
0.750 0.250 0.500
0.000 0.000 0.000
0.069 0.162 0.500
0.162 0.662 0.093
0.338 0.431 0.500
0.431 0.931 0.093
0.500 0.500 0.000
0.569 0.069 0.907
0.662 0.569 0.500
0.838 0.338 0.907
0.931 0.838 0.500
```

=====

Record 2
Here is a geometry-optimized Sm6CBr3N2 structure from Alexandria via LeMat-Bulk. Energies are from PBE.

The formation energy without anion corrections is -1.263 eV per atom. As for the energy: -74.37 eV per formula unit. The crystal system is monoclinic.

POSCAR file:
```
Sm6CBr3N2
1.0
3.214 -5.568 0.000
3.214 5.568 0.000
-2.144 0.000 7.243
Sm C Br N
6 1 3 2
direct
0.105 0.440 0.821
0.224 0.224 0.178
0.440 0.105 0.821
0.560 0.895 0.179
0.776 0.776 0.822
0.895 0.560 0.179
0.500 0.500 0.000
0.000 0.000 0.500
0.335 0.665 0.500
0.665 0.335 0.500
0.167 0.833 0.000
0.833 0.167 0.000
```

=====

Record 3
Here is a geometry-optimized ErPaZnHg structure from Alexandria via LeMat-Bulk. Energies are from PBE.

As for the energy: -15.68 eV per formula unit. The crystal system is cubic. The formation energy comes out at -0.011 eV per atom.

POSCAR file:
```
ErPaZnHg
1.0
0.000 3.643 3.643
3.643 0.000 3.643
3.643 3.643 0.000
Er Pa Zn Hg
1 1 1 1
direct
0.000 0.000 0.000
0.500 0.500 0.500
0.750 0.750 0.750
0.250 0.250 0.250
```

=====

Record 4
Here is a geometry-optimized HoAlPd6 structure from Alexandria via LeMat-Bulk. Energies are from PBE.

For the energy above the lowest structure with this stoichiometry, the calculation gives 0 meV per atom. As for the energy: -45.42 eV per formula unit. The crystal system is tetragonal. The formation energy comes out at -0.743 eV per atom.

POSCAR file:
```
HoAlPd6
1.0
4.045 0.000 0.000
0.000 4.045 0.000
0.000 0.000 7.906
Ho Al Pd
1 1 6
direct
0.000 0.000 0.000
0.000 0.000 0.500
0.000 0.500 0.268
0.000 0.500 0.732
0.500 0.000 0.268
0.500 0.000 0.732
0.500 0.500 0.000
0.500 0.500 0.500
```

=====

Record 5
Here is a geometry-optimized NpCrH6 structure from Alexandria via LeMat-Bulk. Energies are from PBE.

As for the energy: -42.64 eV per formula unit. The crystal system is trigonal.

POSCAR file:
```
NpCrH6
1.0
2.138 1.235 3.703
-2.138 1.235 3.703
0.000 -2.469 3.703
Np Cr H
1 1 6
direct
0.000 0.000 0.000
0.500 0.500 0.500
0.043 0.601 0.601
0.399 0.399 0.957
0.399 0.957 0.399
0.601 0.043 0.601
0.601 0.601 0.043
0.957 0.399 0.399
```

=====

Record 6
Here is a geometry-optimized NaDy2Pd9 structure from Alexandria via LeMat-Bulk. Energies are from PBE.

As for the energy: -64.32 eV per formula unit. The crystal system is tetragonal. The formation energy comes out at -0.588 eV per atom.

POSCAR file:
```
NaDy2Pd9
1.0
4.133 0.000 0.000
0.000 4.133 0.000
0.000 0.000 12.065
Na Dy Pd
1 2 9
direct
0.000 0.000 0.000
0.000 0.000 0.329
0.000 0.000 0.671
0.000 0.500 0.164
0.000 0.500 0.500
0.000 0.500 0.836
0.500 0.000 0.164
0.500 0.000 0.500
0.500 0.000 0.836
0.500 0.500 0.000
0.500 0.500 0.331
0.500 0.500 0.669
```

=====

Number 1: V 595 Å³ per cell, magnetic moment 0.0 μB/f.u.. Number 2: V 259 Å³ per cell, magnetic moment 0.0 μB/f.u.. Number 3: V 97 Å³ per cell, magnetic moment 1.7 μB/f.u.. Number 4: V 129 Å³ per cell, magnetic moment 0.0 μB/f.u.. Number 5: V 59 Å³ per cell, magnetic moment 1.0 μB/f.u.. Number 6: V 206 Å³ per cell, magnetic moment 0.0 μB/f.u..